A geometry-optimized CoBPO structure, computed with GGA+U.

Values from the calculation:
Crystal system = tetragonal
Energy = -44.04 eV for the cell shown
Calculated density = 3.8 g/cm3

The structure in CIF format:
```
data_CoBPO
_cell_length_a 3.504
_cell_length_b 3.504
_cell_length_c 8.370
_cell_angle_alpha 90.00
_cell_angle_beta 90.00
_cell_angle_gamma 90.00
_symmetry_space_group_name_H-M 'P 1'
_symmetry_Int_Tables_number 1
_symmetry_space_group_name_Hall 'P 1'
loop_
_atom_site_label
_atom_site_fract_x
_atom_site_fract_y
_atom_site_fract_z
Co1 0.250 0.250 0.100
Co2 0.750 0.750 0.900
B1 0.250 0.750 0.500
B2 0.750 0.250 0.500
P1 0.250 0.250 0.636
P2 0.750 0.750 0.364
O1 0.250 0.750 0.000
O2 0.750 0.250 0.000
```